## K2CaPt (PBE-GGA)

Data for a relaxed K2CaPt crystal.

Magnetic moment = 0.00 μB/cell
Formation energy = 0.03 eV/atom
Calculated volume = 31.373 A^3/atom
Space-group type = P4/mmm

extended XYZ file:
```
4
Lattice="-1.676 -3.078 4.663 4.028 -2.299 -0.069 1.874 3.200 2.786" Properties=species:S:1:pos:R:3 pbc="T T T"
Pt 1.176 -2.688 2.297
K 0.000 0.000 0.000
K 2.951 0.451 1.358
Ca 0.099 0.061 3.724
```